(1)
Entry from Alexandria: a geometry-optimized Ce2TmMnS5 structure (PBE).

Calculated values
- magnetic moment (μB/atom) = 0.707
- E_form (uncorrected) (eV/atom) = -1.69
- crystal system = orthorhombic

a b c (Å): 8.5490 8.5490 11.8442
angles (deg): 90.00 90.00 153.63
Positions (direct):
1 Ce 0.1122 0.8878 0.5000
2 Ce 0.1283 0.8717 0.1276
3 Ce 0.8717 0.1283 0.6276
4 Ce 0.8878 0.1122 0.0000
5 Tm 0.1997 0.8003 0.8260
6 Tm 0.8003 0.1997 0.3260
7 Mn 0.4486 0.5514 0.2579
8 Mn 0.5514 0.4486 0.7579
9 S 0.0430 0.9570 0.8678
10 S 0.2902 0.7098 0.4836
11 S 0.3136 0.6864 0.1684
12 S 0.3600 0.6400 0.8161
13 S 0.4945 0.5055 0.5809
14 S 0.5055 0.4945 0.0809
15 S 0.6400 0.3600 0.3161
16 S 0.6864 0.3136 0.6684
17 S 0.7098 0.2902 0.9836
18 S 0.9570 0.0430 0.3678

(2)
Entry from Alexandria: a geometry-optimized CeUMn2S8 structure (PBE).

Calculated values
- magnetic moment (μB/atom) = 0.666
- E_form (uncorrected) (eV/atom) = -0.88
- crystal system = tetragonal

a b c (Å): 7.8222 7.8222 7.8222
angles (deg): 132.48 132.48 69.47
Positions (direct):
1 Ce 0.0000 0.0000 0.0000
2 U 0.7500 0.2500 0.5000
3 Mn 0.2500 0.7500 0.5000
4 Mn 0.5000 0.5000 0.0000
5 S 0.0499 0.6496 0.0483
6 S 0.1450 0.2580 0.5689
7 S 0.3504 0.3987 0.4003
8 S 0.4239 0.8550 0.1130
9 S 0.6013 0.0016 0.9517
10 S 0.6890 0.5761 0.4311
11 S 0.7420 0.3110 0.8870
12 S 0.9984 0.9501 0.5997

(3)
Entry from Alexandria: a geometry-optimized CeUMnS4 structure (PBE).

Calculated values
- magnetic moment (μB/atom) = 0.680
- E_form (uncorrected) (eV/atom) = -1.30
- crystal system = monoclinic

a b c (Å): 6.4651 5.9850 7.6467
angles (deg): 90.00 106.99 90.00
Positions (direct):
1 Ce 0.2491 0.2500 0.4363
2 Ce 0.7509 0.7500 0.5637
3 U 0.2648 0.2500 0.9432
4 U 0.7352 0.7500 0.0568
5 Mn 0.2624 0.7500 0.1886
6 Mn 0.7376 0.2500 0.8114
7 S 0.0623 0.7500 0.3820
8 S 0.0669 0.7500 0.8972
9 S 0.4813 0.5110 0.7534
10 S 0.4813 0.9890 0.7534
11 S 0.5187 0.0110 0.2466
12 S 0.5187 0.4890 0.2466
13 S 0.9331 0.2500 0.1028
14 S 0.9377 0.2500 0.6180

(4)
Entry from Alexandria: a geometry-optimized Ce2UMnS5 structure (PBE).

Calculated values
- magnetic moment (μB/atom) = 0.076
- E_form (uncorrected) (eV/atom) = -1.55
- crystal system = orthorhombic

a b c (Å): 8.3847 8.3847 12.0159
angles (deg): 90.00 90.00 153.48
Positions (direct):
1 Ce 0.1174 0.8826 0.5000
2 Ce 0.1216 0.8784 0.8476
3 Ce 0.8784 0.1216 0.3476
4 Ce 0.8826 0.1174 0.0000
5 U 0.1796 0.8204 0.1755
6 U 0.8204 0.1796 0.6755
7 Mn 0.4447 0.5553 0.5779
8 Mn 0.5553 0.4447 0.0779
9 S 0.0132 0.9868 0.1703
10 S 0.3070 0.6930 0.8365
11 S 0.3098 0.6902 0.5126
12 S 0.3445 0.6555 0.1731
13 S 0.4968 0.5032 0.9063
14 S 0.5032 0.4968 0.4063
15 S 0.6555 0.3445 0.6731
16 S 0.6902 0.3098 0.0126
17 S 0.6930 0.3070 0.3365
18 S 0.9868 0.0132 0.6703

> Look up the magnetic moment of the fourth one.

0.076 μB/atom